(1)
Material: CdTe2P
Method: DFT, PBE
State: relaxed

a = 3.554 Å, b = 3.554 Å, c = 7.597 Å
α = 90.00°, β = 90.00°, γ = 90.00°
Sites, in units of the cell vectors:
Cd1 0.500 0.500 0.250
Te1 0.000 0.000 0.524
Te2 0.000 0.000 0.976
P1 0.500 0.500 0.750

## Properties
- Total DFT energy (no corrections): -11.0 eV per formula unit
- ΔE to the lowest computed polymorph: 391 meV per atom
- Formation energy from raw total energies: 39.7 kJ per mole of atoms

***

(2)
Material: CdTeP2
Method: DFT, PBE
State: relaxed

a = 3.950 Å, b = 3.950 Å, c = 6.834 Å
α = 73.09°, β = 73.09°, γ = 60.06°
Sites, in units of the cell vectors:
Cd1 0.250 0.250 0.250
P1 0.500 0.500 0.501
P2 0.000 0.000 0.999
Te1 0.750 0.750 0.750

## Properties
- Total DFT energy (no corrections): -13.9 eV per formula unit
- ΔE to the lowest computed polymorph: 102 meV per atom
- Formation energy from raw total energies: 23.9 kJ per mole of atoms

***

(3)
Material: CdTeP2
Method: DFT, PBE
State: relaxed

a = 7.748 Å, b = 7.748 Å, c = 7.748 Å
α = 156.03°, β = 148.88°, γ = 39.65°
Sites, in units of the cell vectors:
Te1 0.433 0.433 0.000
P1 0.187 0.687 0.500
P2 0.088 0.088 0.000
Cd1 0.793 0.293 0.500

## Properties
- Total DFT energy (no corrections): -14.3 eV per formula unit
- ΔE to the lowest computed polymorph: 4 meV per atom
- Formation energy from raw total energies: 14.5 kJ per mole of atoms

***

(4)
Material: CdTeP2
Method: DFT, PBE
State: relaxed

a = 3.562 Å, b = 3.562 Å, c = 7.546 Å
α = 90.00°, β = 90.00°, γ = 113.37°
Sites, in units of the cell vectors:
P1 0.000 0.000 0.502
P2 0.000 0.000 0.998
Te1 0.500 0.500 0.250
Cd1 0.500 0.500 0.750

## Properties
- Total DFT energy (no corrections): -12.6 eV per formula unit
- ΔE to the lowest computed polymorph: 429 meV per atom
- Formation energy from raw total energies: 55.5 kJ per mole of atoms

***

(5)
Material: CdTe3P
Method: DFT, PBE
State: relaxed

a = 5.283 Å, b = 5.283 Å, c = 5.283 Å
α = 90.00°, β = 90.00°, γ = 90.00°
Sites, in units of the cell vectors:
Te1 0.000 0.500 0.000
Te2 0.000 0.000 0.500
Te3 0.500 0.000 0.000
Cd1 0.500 0.500 0.500
P1 0.000 0.000 0.000

## Properties
- Total DFT energy (no corrections): -13.9 eV per formula unit
- ΔE to the lowest computed polymorph: 0 meV per atom
- Formation energy from raw total energies: 36.0 kJ per mole of atoms

***

(6)
Material: CdTe2P
Method: DFT, PBE
State: relaxed

a = 5.133 Å, b = 5.133 Å, c = 5.133 Å
α = 60.00°, β = 60.00°, γ = 60.00°
Sites, in units of the cell vectors:
P1 0.000 0.000 0.000
Te1 0.750 0.750 0.750
Te2 0.250 0.250 0.250
Cd1 0.500 0.500 0.500

## Properties
- Total DFT energy (no corrections): -10.8 eV per formula unit
- ΔE to the lowest computed polymorph: 429 meV per atom
- Formation energy from raw total energies: 43.4 kJ per mole of atoms

***

(7)
Material: CdTeP2
Method: DFT, PBE
State: relaxed

a = 5.311 Å, b = 5.311 Å, c = 5.311 Å
α = 137.96°, β = 106.62°, γ = 88.36°
Sites, in units of the cell vectors:
Te1 0.250 0.750 0.500
Cd1 0.750 0.250 0.500
P1 0.498 0.498 0.000
P2 0.002 0.002 0.000

## Properties
- Total DFT energy (no corrections): -12.6 eV per formula unit
- ΔE to the lowest computed polymorph: 418 meV per atom
- Formation energy from raw total energies: 54.4 kJ per mole of atoms

***

(8)
Material: CdTeP2
Method: DFT, PBE
State: relaxed

a = 3.919 Å, b = 6.106 Å, c = 3.770 Å
α = 90.00°, β = 90.00°, γ = 90.00°
Sites, in units of the cell vectors:
Cd1 0.000 0.500 0.500
Te1 0.500 0.000 0.500
P1 0.500 0.500 0.000
P2 0.000 0.000 0.000

## Properties
- Total DFT energy (no corrections): -12.5 eV per formula unit
- ΔE to the lowest computed polymorph: 437 meV per atom
- Formation energy from raw total energies: 56.3 kJ per mole of atoms

***

(9)
Material: CdTeP
Method: DFT, PBE
State: relaxed

a = 3.920 Å, b = 3.920 Å, c = 5.398 Å
α = 90.00°, β = 90.00°, γ = 120.00°
Sites, in units of the cell vectors:
Te1 0.333 0.667 0.643
P1 0.667 0.333 0.323
Cd1 0.000 0.000 0.034

## Properties
- Total DFT energy (no corrections): -8.8 eV per formula unit
- ΔE to the lowest computed polymorph: 94 meV per atom
- Formation energy from raw total energies: 21.1 kJ per mole of atoms

***

(10)
Material: TiCdTeP2
Method: DFT, PBE
State: relaxed

a = 4.587 Å, b = 6.083 Å, c = 4.587 Å
α = 90.00°, β = 90.00°, γ = 90.00°
Sites, in units of the cell vectors:
Te1 0.500 0.500 0.500
P1 0.500 0.000 0.000
P2 0.000 0.000 0.500
Ti1 0.000 0.000 0.000
Cd1 0.000 0.500 0.000

## Properties
- Total DFT energy (no corrections): -21.1 eV per formula unit
- Formation energy from raw total energies: 33.0 kJ per mole of atoms

***

(11)
Material: CdTeP2W
Method: DFT, PBE
State: relaxed

a = 5.127 Å, b = 5.177 Å, c = 5.127 Å
α = 90.00°, β = 90.00°, γ = 90.00°
Each line ends with the local moment (μB).
Sites, in units of the cell vectors:
Te1 0.000 0.000 0.000  -0.07
P1 0.500 0.000 0.000  -0.10
P2 0.000 0.000 0.500  -0.07
Cd1 0.500 0.500 0.500  -0.04
W1 0.000 0.500 0.000  2.29

## Properties
- Total DFT energy (no corrections): -18.9 eV per formula unit
- Formation energy from raw total energies: 172.0 kJ per mole of atoms

***

(12)
Material: Th2CdP
Method: DFT, PBE
State: relaxed

a = 3.977 Å, b = 3.977 Å, c = 8.651 Å
α = 76.71°, β = 76.71°, γ = 60.00°
Sites, in units of the cell vectors:
Cd1 0.500 0.500 0.501
Th1 0.067 0.067 0.800
Th2 0.267 0.267 0.200
P1 0.667 0.667 0.999

## Properties
- Total DFT energy (no corrections): -23.9 eV per formula unit
- ΔE to the lowest computed polymorph: 0 meV per atom
- Energy of formation from the pure elements: -0.6719 eV/atom

***

(13)
Material: Th2CdP
Method: DFT, PBE
State: relaxed

a = 3.843 Å, b = 3.843 Å, c = 10.364 Å
α = 79.31°, β = 79.31°, γ = 60.00°
Each line ends with the local moment (μB).
Sites, in units of the cell vectors:
Cd1 0.000 0.000 0.000  0.01
Th1 0.110 0.110 0.670  0.13
Th2 0.890 0.890 0.330  0.13
P1 0.500 0.500 0.500  0.00

## Properties
- Total DFT energy (no corrections): -22.5 eV per formula unit
- ΔE to the lowest computed polymorph: 330 meV per atom
- Energy of formation from the pure elements: -0.3424 eV/atom

***

(14)
Material: ThCdP
Method: DFT, PBE
State: relaxed

a = 4.856 Å, b = 4.856 Å, c = 8.267 Å
α = 72.92°, β = 72.92°, γ = 60.00°
Sites, in units of the cell vectors:
Cd1 0.832 0.832 0.505
Cd2 0.168 0.168 0.495
Th1 0.594 0.594 0.217
Th2 0.406 0.406 0.783
P1 0.285 0.285 0.145
P2 0.715 0.715 0.855

## Properties
- Total DFT energy (no corrections): -15.9 eV per formula unit
- Energy of formation from the pure elements: -0.7273 eV/atom

***

(15)
Material: Ti3CdP
Method: DFT, PBE
State: relaxed

a = 4.574 Å, b = 4.574 Å, c = 4.574 Å
α = 90.00°, β = 90.00°, γ = 90.00°
Sites, in units of the cell vectors:
P1 0.000 0.000 0.000
Ti1 0.000 0.500 0.000
Ti2 0.000 0.000 0.500
Ti3 0.500 0.000 0.000
Cd1 0.500 0.500 0.500

## Properties
- Total DFT energy (no corrections): -31.4 eV per formula unit
- ΔE to the lowest computed polymorph: 0 meV per atom
- Energy of formation from the pure elements: -0.2834 eV/atom

***

(16)
Material: TiCd2P
Method: DFT, PBE
State: relaxed

a = 8.130 Å, b = 8.130 Å, c = 6.273 Å
α = 49.61°, β = 49.61°, γ = 90.00°
Each line ends with the local moment (μB).
Sites, in units of the cell vectors:
Cd1 0.182 0.625 0.250  -0.01
Cd2 0.568 0.125 0.250  -0.01
Cd3 0.375 0.432 0.750  -0.01
Cd4 0.875 0.818 0.750  -0.01
P1 0.500 0.500 0.000  -0.05
P2 0.250 0.750 0.500  -0.05
Ti1 0.000 0.000 0.000  0.80
Ti2 0.750 0.250 0.500  0.80

## Properties
- Total DFT energy (no corrections): -14.9 eV per formula unit
- Energy of formation from the pure elements: 0.0623 eV/atom

***

(17)
Material: TiCd3P
Method: DFT, PBE
State: relaxed

a = 5.382 Å, b = 5.382 Å, c = 5.382 Å
α = 90.00°, β = 90.00°, γ = 90.00°
Each line ends with the local moment (μB).
Sites, in units of the cell vectors:
Cd1 0.000 0.500 0.000  0.02
Cd2 0.500 0.000 0.000  0.06
Cd3 0.000 0.000 0.500  0.02
Ti1 0.000 0.000 0.000  1.62
P1 0.500 0.500 0.500  -0.65

## Properties
- Total DFT energy (no corrections): -10.3 eV per formula unit
- ΔE to the lowest computed polymorph: 337 meV per atom
- Energy of formation from the pure elements: 1.1450 eV/atom

***

(18)
Material: TiCd3P
Method: DFT, PBE
State: relaxed

a = 4.998 Å, b = 4.998 Å, c = 4.998 Å
α = 90.00°, β = 90.00°, γ = 90.00°
Sites, in units of the cell vectors:
Ti1 0.500 0.500 0.500
Cd1 0.000 0.000 0.500
Cd2 0.500 0.000 0.000
Cd3 0.000 0.500 0.000
P1 0.000 0.000 0.000

## Properties
- Total DFT energy (no corrections): -12.0 eV per formula unit
- ΔE to the lowest computed polymorph: 0 meV per atom
- Energy of formation from the pure elements: 0.8084 eV/atom

***

(19)
Material: Ti3CdP
Method: DFT, PBE
State: relaxed

a = 4.927 Å, b = 4.927 Å, c = 4.927 Å
α = 90.00°, β = 90.00°, γ = 90.00°
Each line ends with the local moment (μB).
Sites, in units of the cell vectors:
Ti1 0.500 0.000 0.000  0.80
Ti2 0.000 0.000 0.500  0.83
Ti3 0.000 0.500 0.000  0.80
Cd1 0.000 0.000 0.000  -0.01
P1 0.500 0.500 0.500  -0.08

## Properties
- Total DFT energy (no corrections): -23.7 eV per formula unit
- ΔE to the lowest computed polymorph: 1542 meV per atom
- Energy of formation from the pure elements: 1.2586 eV/atom

***

(20)
Material: Ti2CdPW
Method: DFT, PBE
State: relaxed

a = 4.843 Å, b = 4.918 Å, c = 4.843 Å
α = 90.00°, β = 90.00°, γ = 90.00°
Sites, in units of the cell vectors:
Ti1 0.500 0.000 0.000
Ti2 0.000 0.000 0.500
P1 0.500 0.500 0.500
W1 0.000 0.500 0.000
Cd1 0.000 0.000 0.000

## Properties
- Total DFT energy (no corrections): -25.4 eV per formula unit
- Energy of formation from the pure elements: 1.9310 eV/atom